# 1
A geometry-optimized Ba2NaHgSe structure. Source: the Alexandria database, functional PBEsol.

uncorrected formation energy: -0.14 eV per atom
final energy: -2.17 eV per atom

```
Ba2NaHgSe
1.0
-1.100 -4.814 -0.669
0.254 -0.917 6.172
-6.086 1.328 0.448
Na Hg Se Ba
1 1 1 2
Direct
0.000 0.000 0.000
0.500 0.000 0.000
0.500 0.500 0.500
0.000 0.000 0.500
0.000 0.500 0.000
```

---

# 2
A geometry-optimized HgSe2F structure. Source: the Alexandria database, functional PBEsol.

uncorrected formation energy: -0.35 eV per atom
final energy: -2.90 eV per atom

```
HgSe2F
1.0
-1.244 -1.392 3.286
-1.088 -3.167 -1.753
10.529 -1.917 1.000
Hg Se F
2 4 2
Direct
0.250 0.750 0.500
0.000 0.000 0.000
0.876 0.375 0.250
0.374 0.875 0.250
0.625 0.626 0.750
0.125 0.124 0.750
0.750 0.250 0.500
0.500 0.500 0.000
```

---

# 3
A geometry-optimized Sc2PbO2 structure. Source: the Alexandria database, functional PBEsol.

uncorrected formation energy: -2.49 eV per atom
final energy: -8.04 eV per atom

```
Sc2PbO2
1.0
-0.037 -3.168 1.689
3.523 -0.357 -0.593
-0.466 4.813 5.201
Pb Sc O
1 2 2
Direct
0.000 0.000 0.000
0.325 0.325 0.651
0.675 0.675 0.349
0.250 0.750 0.500
0.750 0.250 0.500
```